Arrangement one

Material: LaY2Au
Method: DFT, PBE
State: relaxed

```
LaY2Au
1.0
-4.3820 4.3820 3.2924
4.3820 -4.3820 3.2924
4.3820 4.3820 -3.2924
La Y Au
2 4 2
direct
0.0000 0.0000 0.0000
0.7500 0.2500 0.5000
0.1885 0.6250 0.0635
0.3750 0.4385 0.5635
0.5615 0.1250 0.9365
0.8750 0.8115 0.4365
0.2500 0.7500 0.5000
0.5000 0.5000 0.0000
```

- V (A^3/atom) = 31.6
- SG = I-42d (122)

---

Arrangement two

Material: LaY2Au
Method: DFT, PBE
State: relaxed

```
LaY2Au
1.0
3.6484 0.0000 0.0000
0.0000 3.6484 0.0000
0.0000 0.0000 8.7425
La Y Au
1 2 1
direct
0.0000 0.0000 0.0000
0.5000 0.5000 0.3023
0.5000 0.5000 0.6977
0.0000 0.0000 0.5000
```

- V (A^3/atom) = 29.1
- SG = P4/mmm (123)

---

Which structure is the most stable? The one labeled arrangement two.

---

Arrangement one

Material: LaY2Au
Method: DFT, PBE
State: relaxed

```
LaY2Au
1.0
5.3714 0.0000 0.0000
0.0000 3.7840 0.0000
-0.0136 0.0000 5.5542
La Y Au
1 2 1
direct
0.0000 0.0000 0.0000
0.5000 0.0000 0.5000
0.5000 0.5000 0.0000
0.0000 0.5000 0.5000
```

- V (A^3/atom) = 28.2
- SG = P2/m (10)

---

Arrangement two

Material: LaY2Au
Method: DFT, PBE
State: relaxed

```
LaY2Au
1.0
0.0000 3.8384 3.8384
3.8384 0.0000 3.8384
3.8384 3.8384 0.0000
La Y Au
1 2 1
direct
0.0000 0.0000 0.0000
0.5000 0.5000 0.5000
0.7500 0.7500 0.7500
0.2500 0.2500 0.2500
```

- V (A^3/atom) = 28.3
- SG = F-43m (216)

---

Which structure is the most stable? The one labeled arrangement one.

---

Arrangement one

Material: LaY2Au2
Method: DFT, PBE
State: relaxed

```
LaY2Au2
1.0
8.5595 0.0000 0.0000
0.0000 8.5595 0.0000
0.0000 0.0000 3.4935
La Y Au
2 4 4
direct
0.0000 0.0000 0.0000
0.5000 0.5000 0.0000
0.1426 0.3574 0.0000
0.3574 0.8574 0.0000
0.6426 0.1426 0.0000
0.8574 0.6426 0.0000
0.1538 0.6538 0.5000
0.3462 0.1538 0.5000
0.6538 0.8462 0.5000
0.8462 0.3462 0.5000
```

- V (A^3/atom) = 25.6
- SG = P4/mbm (127)

---

Arrangement two

Material: LaY2Au2
Method: DFT, PBE
State: relaxed

```
LaY2Au2
1.0
8.3093 0.0000 0.0000
0.0000 8.3093 0.0000
0.0000 0.0000 3.8631
La Y Au
2 4 4
direct
0.0000 0.0000 0.0000
0.5000 0.5000 0.0000
0.1609 0.3391 0.5000
0.3391 0.8391 0.5000
0.6609 0.1609 0.5000
0.8391 0.6609 0.5000
0.1297 0.6297 0.0000
0.3703 0.1297 0.0000
0.6297 0.8703 0.0000
0.8703 0.3703 0.0000
```

- V (A^3/atom) = 26.7
- SG = P4/mbm (127)

---

Arrangement three

Material: LaY2Au2
Method: DFT, PBE
State: relaxed

```
LaY2Au2
1.0
-2.6825 2.6825 5.2951
2.6825 -2.6825 5.2951
2.6825 2.6825 -5.2951
La Y Au
1 2 2
direct
0.0000 0.0000 0.0000
0.3427 0.3427 0.0000
0.6573 0.6573 0.0000
0.2500 0.7500 0.5000
0.7500 0.2500 0.5000
```

- V (A^3/atom) = 30.5
- SG = I4/mmm (139)

---

Arrangement four

Material: LaY2Au2
Method: DFT, PBE
State: relaxed

```
LaY2Au2
1.0
-2.4605 2.4605 5.8779
2.4605 -2.4605 5.8779
2.4605 2.4605 -5.8779
La Y Au
1 2 2
direct
0.0000 0.0000 0.0000
0.2500 0.7500 0.5000
0.7500 0.2500 0.5000
0.3847 0.3847 0.0000
0.6153 0.6153 0.0000
```

- V (A^3/atom) = 28.5
- SG = I4/mmm (139)

---

Which structure is the most stable? The one labeled arrangement two.

---

Arrangement one

Material: LaYAu3
Method: DFT, PBE
State: relaxed

```
LaYAu3
1.0
5.4272 0.0000 0.0000
0.0000 5.4272 0.0000
0.0000 0.0000 5.4272
La Y Au
1 1 3
direct
0.0000 0.0000 0.0000
0.5000 0.5000 0.5000
0.0000 0.0000 0.5000
0.0000 0.5000 0.0000
0.5000 0.0000 0.0000
```

- V (A^3/atom) = 32.0
- SG = Pm-3m (221)

---

Arrangement two

Material: LaYAu3
Method: DFT, PBE
State: relaxed

```
LaYAu3
1.0
5.2974 0.0000 0.0000
0.0000 5.2974 0.0000
0.0000 0.0000 5.2974
La Y Au
1 1 3
direct
0.0000 0.0000 0.0000
0.5000 0.5000 0.5000
0.0000 0.5000 0.5000
0.5000 0.0000 0.5000
0.5000 0.5000 0.0000
```

- V (A^3/atom) = 29.7
- SG = Pm-3m (221)

---

Arrangement three

Material: LaYAu3
Method: DFT, PBE
State: relaxed

```
LaYAu3
1.0
1.8699 -14.2520 0.0000
1.8699 14.2520 0.0000
0.0000 0.0000 4.6223
La Y Au
2 2 6
direct
0.0737 0.9263 0.7500
0.9263 0.0737 0.2500
0.2070 0.7930 0.2500
0.7930 0.2070 0.7500
0.3136 0.6864 0.2500
0.3760 0.6240 0.7500
0.4733 0.5267 0.7500
0.5267 0.4733 0.2500
0.6240 0.3760 0.2500
0.6864 0.3136 0.7500
```

- V (A^3/atom) = 24.6
- SG = Cmcm (63)

---

Which structure is the most stable? The one labeled arrangement three.

---

Arrangement one

Material: LaZn4Au2
Method: DFT, PBE
State: relaxed

```
LaZn4Au2
1.0
7.7977 0.0000 0.0000
0.0000 7.7977 0.0000
0.0000 0.0000 4.4019
La Zn Au
2 8 4
direct
0.0000 0.0000 0.0000
0.5000 0.5000 0.5000
0.0932 0.3511 0.5000
0.1489 0.5932 0.0000
0.3511 0.0932 0.5000
0.4068 0.8511 0.0000
0.5932 0.1489 0.0000
0.6489 0.9068 0.5000
0.8511 0.4068 0.0000
0.9068 0.6489 0.5000
0.2126 0.7874 0.5000
0.2874 0.2874 0.0000
0.7126 0.7126 0.0000
0.7874 0.2126 0.5000
```

- V (A^3/atom) = 19.1
- SG = P4_2/mnm (136)

---

Arrangement two

Material: LaZn4Au2
Method: DFT, PBE
State: relaxed

```
LaZn4Au2
1.0
2.1733 -7.2843 0.0000
2.1733 7.2843 0.0000
0.0000 0.0000 4.3198
La Zn Au
1 4 2
direct
0.0000 0.0000 0.0000
0.1947 0.8053 0.5000
0.3030 0.6970 0.0000
0.6970 0.3030 0.0000
0.8053 0.1947 0.5000
0.4066 0.5934 0.5000
0.5934 0.4066 0.5000
```

- V (A^3/atom) = 19.5
- SG = Cmmm (65)

---

Which structure is the most stable? The one labeled arrangement one.

---

Arrangement one

Material: La4ZnAu2
Method: DFT, PBE
State: relaxed

```
La4ZnAu2
1.0
2.6096 1.5067 9.1481
-2.6096 1.5067 9.1481
0.0000 -3.0133 9.1481
La Zn Au
4 1 2
direct
0.1246 0.1246 0.1246
0.2909 0.2909 0.2909
0.7091 0.7091 0.7091
0.8754 0.8754 0.8754
0.5000 0.5000 0.5000
0.4028 0.4028 0.4028
0.5972 0.5972 0.5972
```

- V (A^3/atom) = 30.8
- SG = R-3m (166)

---

Arrangement two

Material: La4ZnAu2
Method: DFT, PBE
State: relaxed

```
La4ZnAu2
1.0
2.6545 1.5325 8.5371
-2.6545 1.5325 8.5371
0.0000 -3.0651 8.5371
La Zn Au
4 1 2
direct
0.1226 0.1226 0.1226
0.3739 0.3739 0.3739
0.6261 0.6261 0.6261
0.8774 0.8774 0.8774
0.5000 0.5000 0.5000
0.2494 0.2494 0.2494
0.7506 0.7506 0.7506
```

- V (A^3/atom) = 29.8
- SG = R-3m (166)

---

Which structure is the most stable? The one labeled arrangement two.

---

Arrangement one

Material: LaZn3Au3
Method: DFT, PBE
State: relaxed

```
LaZn3Au3
1.0
3.5511 2.0502 6.5590
-3.5511 2.0502 6.5590
0.0000 -4.1005 6.5590
La Zn Au
2 6 6
direct
0.1600 0.1600 0.1600
0.8400 0.8400 0.8400
0.0491 0.6048 0.2272
0.2272 0.0491 0.6048
0.3952 0.7728 0.9509
0.6048 0.2272 0.0491
0.7728 0.9509 0.3952
0.9509 0.3952 0.7728
0.1912 0.6643 0.4242
0.3357 0.5758 0.8088
0.4242 0.1912 0.6643
0.5758 0.8088 0.3357
0.6643 0.4242 0.1912
0.8088 0.3357 0.5758
```

- V (A^3/atom) = 20.5
- SG = R-3 (148)

---

Arrangement two

Material: LaZn3Au3
Method: DFT, PBE
State: relaxed

```
LaZn3Au3
1.0
8.6634 0.0000 0.0000
0.0000 4.3144 0.0000
-4.3311 0.0000 7.5168
La Zn Au
2 6 6
direct
0.1665 0.2500 0.3333
0.8335 0.7500 0.6667
0.2948 0.2500 0.0002
0.2954 0.7500 0.7957
0.5000 0.2500 0.7943
0.5000 0.7500 0.2057
0.7046 0.2500 0.2043
0.7052 0.7500 0.9998
0.0883 0.2500 0.6409
0.1404 0.7500 0.0526
0.4471 0.7500 0.5878
0.5529 0.2500 0.4122
0.8596 0.2500 0.9474
0.9117 0.7500 0.3591
```

- V (A^3/atom) = 20.1
- SG = P2_1/m (11)

---

Which structure is the most stable? The one labeled arrangement two.

---

Arrangement one

Material: LaZn2Au2
Method: DFT, PBE
State: relaxed

```
LaZn2Au2
1.0
8.0525 0.0000 0.0000
0.0000 8.0525 0.0000
0.0000 0.0000 3.0239
La Zn Au
2 4 4
direct
0.0000 0.0000 0.0000
0.5000 0.5000 0.0000
0.1158 0.3842 0.0000
0.3842 0.8842 0.0000
0.6158 0.1158 0.0000
0.8842 0.6158 0.0000
0.1792 0.6792 0.5000
0.3208 0.1792 0.5000
0.6792 0.8208 0.5000
0.8208 0.3208 0.5000
```

- V (A^3/atom) = 19.6
- SG = P4/mbm (127)

---

Arrangement two

Material: LaZn2Au2
Method: DFT, PBE
State: relaxed

```
LaZn2Au2
1.0
4.3518 0.0000 0.0000
0.0000 4.3518 0.0000
0.0000 0.0000 11.1965
La Zn Au
2 4 4
direct
0.2500 0.2500 0.2468
0.7500 0.7500 0.7532
0.2500 0.2500 0.6329
0.2500 0.7500 0.0000
0.7500 0.2500 0.0000
0.7500 0.7500 0.3671
0.2500 0.2500 0.8627
0.2500 0.7500 0.5000
0.7500 0.2500 0.5000
0.7500 0.7500 0.1373
```

- V (A^3/atom) = 21.2
- SG = P4/nmm (129)

---

Arrangement three

Material: LaZn2Au2
Method: DFT, PBE
State: relaxed

```
LaZn2Au2
1.0
-2.3756 2.3756 4.7205
2.3756 -2.3756 4.7205
2.3756 2.3756 -4.7205
La Zn Au
1 2 2
direct
0.0000 0.0000 0.0000
0.3710 0.3710 0.0000
0.6290 0.6290 0.0000
0.2500 0.7500 0.5000
0.7500 0.2500 0.5000
```

- V (A^3/atom) = 21.3
- SG = I4/mmm (139)

---

Arrangement four

Material: LaZn2Au2
Method: DFT, PBE
State: relaxed

```
LaZn2Au2
1.0
-2.0969 2.0969 6.0871
2.0969 -2.0969 6.0871
2.0969 2.0969 -6.0871
La Zn Au
1 2 2
direct
0.0000 0.0000 0.0000
0.2500 0.7500 0.5000
0.7500 0.2500 0.5000
0.3846 0.3846 0.0000
0.6154 0.6154 0.0000
```

- V (A^3/atom) = 21.4
- SG = I4/mmm (139)

---

Which structure is the most stable? The one labeled arrangement four.

---

Arrangement one

Material: LaZnAu4
Method: DFT, PBE
State: relaxed

```
LaZnAu4
1.0
4.4122 0.0000 0.0000
0.0000 4.4122 0.0000
0.0000 0.0000 7.3346
La Zn Au
1 1 4
direct
0.0000 0.0000 0.0000
0.5000 0.5000 0.5000
0.0000 0.5000 0.2954
0.0000 0.5000 0.7046
0.5000 0.0000 0.2954
0.5000 0.0000 0.7046
```

- V (A^3/atom) = 23.8
- SG = P4/mmm (123)

---

Arrangement two

Material: LaZnAu4
Method: DFT, PBE
State: relaxed

```
LaZnAu4
1.0
0.0000 3.9831 3.9831
3.9831 0.0000 3.9831
3.9831 3.9831 0.0000
La Zn Au
1 1 4
direct
0.0000 0.0000 0.0000
0.7500 0.7500 0.7500
0.3758 0.3758 0.3758
0.3758 0.3758 0.8727
0.3758 0.8727 0.3758
0.8727 0.3758 0.3758
```

- V (A^3/atom) = 21.1
- SG = F-43m (216)

---

Which structure is the most stable? The one labeled arrangement two.